Entry 1:
Here is crystalline Na2LiCaI5 at its relaxed geometry from Alexandria. Energies are from GGA-PBE.

Results
For the raw formation energy, the calculation gives -1.34 eV/atom. The value obtained for the calculated volume is 41.8 Å³/atom. Its space group is Cmc2_1 (36).

```
Na2LiCaI5
1.0
4.558 0.000 0.000
-2.279 9.911 0.000
0.000 0.000 16.673
Na Li Ca I
4 2 2 10
Direct
0.961 0.923 0.896
0.078 0.155 0.661
0.039 0.077 0.396
0.922 0.845 0.161
0.630 0.260 0.906
0.370 0.740 0.406
0.735 0.470 0.520
0.265 0.530 0.020
0.424 0.848 0.023
0.772 0.543 0.886
0.531 0.062 0.785
0.236 0.472 0.649
0.892 0.784 0.499
0.576 0.152 0.523
0.228 0.457 0.386
0.469 0.938 0.285
0.764 0.528 0.149
0.108 0.216 0.999
```


Entry 2:
Here is crystalline Ag4Pd4Au at its relaxed geometry from Alexandria. Energies are from GGA-PBE.

Results
As for the energy relative to the elements: -0.466 eV/f.u. The energy above the most stable polymorph in this dataset comes out at 0 meV per atom. The value obtained for the calculated volume is 16.7 Å³/atom. Its space group is I4/mmm (139).

```
Ag4Pd4Au
1.0
-4.283 4.283 2.048
4.283 -4.283 2.048
4.283 4.283 -2.048
Ag Pd Au
4 4 1
Direct
0.332 0.332 0.663
0.668 0.668 0.337
0.668 0.332 0.000
0.332 0.668 0.000
0.000 0.338 0.338
0.000 0.662 0.662
0.662 0.000 0.662
0.338 0.000 0.338
0.000 0.000 0.000
```